Density functional theory data (PBE) for a relaxed Hf2USiC4 crystal.

Calculated values
* calculated volume: 102 Å³/f.u.
* mass density: 10.973 Mg/m³
* size of the total moment: 3.0 Bohr magnetons per cell
* formation energy without anion corrections: -3.08 eV/f.u.

a = 3.284 Å, b = 5.744 Å, c = 11.237 Å
α = 90.00°, β = 90.00°, γ = 106.61°
Element x y z (fractional)
Hf1 0.368 0.736 0.546
Hf2 0.632 0.264 0.046
Hf3 0.632 0.264 0.454
Hf4 0.368 0.736 0.954
U1 0.105 0.211 0.750
U2 0.895 0.789 0.250
Si1 0.840 0.679 0.750
Si2 0.160 0.321 0.250
C1 0.269 0.538 0.125
C2 0.731 0.462 0.625
C3 0.731 0.462 0.875
C4 0.269 0.538 0.375
C5 0.000 0.000 0.500
C6 0.000 0.000 0.000
C7 0.437 0.874 0.750
C8 0.563 0.126 0.250

Density functional theory data (PBE) for a relaxed Hf2SiWC crystal.

Calculated values
* calculated volume: 81 Å³/f.u.
* mass density: 11.874 Mg/m³
* size of the total moment: 0.0 Bohr magnetons per cell
* formation energy without anion corrections: -0.93 eV/f.u.

a = 4.493 Å, b = 4.024 Å, c = 4.493 Å
α = 90.00°, β = 90.00°, γ = 90.00°
Element x y z (fractional)
Si1 0.500 0.500 0.500
Hf1 0.000 0.000 0.500
Hf2 0.500 0.000 0.000
C1 0.000 0.000 0.000
W1 0.000 0.500 0.000

Density functional theory data (PBE) for a relaxed Y2Hf2Si2C crystal.

Calculated values
* calculated volume: 144 Å³/f.u.
* mass density: 6.958 Mg/m³
* size of the total moment: 0.8 Bohr magnetons per cell
* formation energy without anion corrections: -4.92 eV/f.u.

a = 4.357 Å, b = 4.357 Å, c = 8.181 Å
α = 105.44°, β = 105.44°, γ = 90.00°
Element x y z (fractional)
Y1 0.169 0.169 0.338
Y2 0.831 0.831 0.662
Hf1 0.000 0.500 0.000
Hf2 0.500 0.000 0.000
Si1 0.371 0.371 0.742
Si2 0.629 0.629 0.258
C1 0.000 0.000 0.000

Density functional theory data (PBE) for a relaxed HfZrSi2C crystal.

Calculated values
* calculated volume: 102 Å³/f.u.
* mass density: 5.498 Mg/m³
* size of the total moment: 0.0 Bohr magnetons per cell
* formation energy without anion corrections: 5.82 eV/f.u.

a = 4.961 Å, b = 4.961 Å, c = 4.146 Å
α = 90.00°, β = 90.00°, γ = 90.00°
Element x y z (fractional)
Si1 0.000 0.500 0.000
Si2 0.500 0.000 0.000
Hf1 0.500 0.500 0.500
C1 0.000 0.000 0.500
Zr1 0.000 0.000 0.000

> What is the calculated volume in the third record?

144 Å³/f.u.